Entry from Alexandria via LeMat-Bulk: crystalline RbLa2MnO5 at its relaxed geometry (PBE with a Hubbard U).

The space group is I4/mcm (No. 140) and the conventional cell measures 6.969, 6.969 and 11.668 Å, with angles of 90.00, 90.00 and 90.00 degrees. The inequivalent atoms are Rb at (0.000, 0.000, 0.250), La at (0.180, 0.320, 0.000), Mn at (0.000, 0.500, 0.250), O at (0.000, 0.000, 0.000) and O at (0.127, 0.373, 0.370).

The magnetic moment is 2.00 μB/f.u. The final energy is -0.2619 Ha/atom.